1.
PBE SiRuS2, relaxed; energy = -5.688 eV/atom; volume = 64.2 Å³/cell; uncorrected formation energy = 0.050 eV/atom
1.0
1.852 0.000 7.196
-0.926 1.604 7.196
-0.926 -1.604 7.196
S Si Ru
2 1 1
direct
0.896 0.896 0.896 S
0.104 0.104 0.104 S
0.500 0.500 0.500 Si
0.000 0.000 0.000 Ru

***

2.
PBE SiRuWS2, relaxed; energy = -5.692 eV/atom; volume = 88.6 Å³/cell; uncorrected formation energy = 1.489 eV/atom
1.0
-2.965 2.472 -1.830
-3.164 -3.677 0.160
-1.304 1.291 3.858
Si S Ru W
1 2 1 1
direct
0.000 0.000 0.000 Si
0.000 0.000 0.500 S
0.500 0.000 0.000 S
0.500 0.500 0.500 Ru
0.000 0.500 0.000 W

***

3.
PBE Sm2RuS, relaxed; energy = -6.658 eV/atom; volume = 86.4 Å³/cell; uncorrected formation energy = -0.948 eV/atom
1.0
3.460 0.000 0.000
0.000 3.460 0.000
0.000 0.000 7.214
Sm Ru S
2 1 1
direct
0.000 0.000 0.242 Sm
0.000 0.000 0.758 Sm
0.500 0.500 0.000 Ru
0.500 0.500 0.500 S

***

4.
PBE SnRuS3, relaxed; energy = -4.971 eV/atom; volume = 102.8 Å³/cell; polymorph energy (0 for the lowest one) = 0 meV per atom; uncorrected formation energy = 0.161 eV/atom
1.0
4.684 0.000 0.000
0.000 4.684 0.000
0.000 0.000 4.684
Ru S Sn
1 3 1
direct
0.000 0.000 0.000 Ru
0.500 0.000 0.000 S
0.000 0.000 0.500 S
0.000 0.500 0.000 S
0.500 0.500 0.500 Sn

***

5.
PBE Sn2RuS, relaxed; energy = -5.106 eV/atom; volume = 220.1 Å³/cell; uncorrected formation energy = 0.246 eV/atom
1.0
6.211 0.000 0.000
0.000 6.211 0.000
3.105 3.105 5.706
Sn Ru S
4 2 2
direct
0.375 0.355 0.750 Sn
0.105 0.625 0.250 Sn
0.875 0.895 0.750 Sn
0.645 0.125 0.250 Sn
0.000 0.000 0.000 Ru
0.750 0.250 0.500 Ru
0.500 0.500 0.000 S
0.250 0.750 0.500 S

***

6.
PBE SnRuS, relaxed; energy = -6.110 eV/atom; volume = 231.3 Å³/cell; uncorrected formation energy = -0.308 eV/atom
1.0
-6.327 -0.914 -3.516
0.880 -0.580 6.214
-1.283 6.019 0.744
Ru S Sn
4 4 4
direct
0.191 0.002 0.978 Ru
0.809 0.998 0.022 Ru
0.809 0.498 0.478 Ru
0.191 0.502 0.522 Ru
0.854 0.683 0.140 S
0.146 0.317 0.860 S
0.146 0.817 0.640 S
0.854 0.183 0.360 S
0.361 0.237 0.368 Sn
0.639 0.263 0.868 Sn
0.361 0.737 0.132 Sn
0.639 0.763 0.632 Sn

***

7.
PBE SnRuS2, relaxed; energy = -5.510 eV/atom; volume = 162.5 Å³/cell; uncorrected formation energy = -0.127 eV/atom
1.0
7.053 0.000 0.000
0.000 7.053 0.000
3.527 3.527 3.266
Ru Sn S
2 2 4
direct
0.500 0.500 0.000 Ru
0.250 0.750 0.500 Ru
0.000 0.000 0.000 Sn
0.750 0.250 0.500 Sn
0.539 0.125 0.250 S
0.875 0.789 0.750 S
0.211 0.625 0.250 S
0.375 0.461 0.750 S

***

8.
PBE SnRuS2, relaxed; energy = -5.594 eV/atom; volume = 85.8 Å³/cell; uncorrected formation energy = -0.211 eV/atom
1.0
2.039 0.000 7.941
-1.019 1.766 7.941
-1.019 -1.766 7.941
S Ru Sn
2 1 1
direct
0.884 0.884 0.884 S
0.116 0.116 0.116 S
0.500 0.500 0.500 Ru
0.000 0.000 0.000 Sn

***

9.
PBE Sn3RuS, relaxed; energy = -4.117 eV/atom; volume = 130.3 Å³/cell; polymorph energy (0 for the lowest one) = 1001 meV per atom; uncorrected formation energy = 0.965 eV/atom
1.0
-3.199 3.804 0.999
-3.197 -1.764 -3.517
-2.291 -2.849 3.513
S Ru Sn
1 1 3
direct
0.000 0.000 0.000 S
0.500 0.500 0.500 Ru
0.500 0.000 0.000 Sn
0.000 0.000 0.500 Sn
0.000 0.500 0.000 Sn

***

10.
PBE Sn3RuS, relaxed; energy = -5.118 eV/atom; volume = 137.6 Å³/cell; polymorph energy (0 for the lowest one) = 0 meV per atom; uncorrected formation energy = -0.036 eV/atom
1.0
5.163 0.000 0.000
0.000 5.163 0.000
0.000 0.000 5.163
Sn Ru S
3 1 1
direct
0.500 0.000 0.000 Sn
0.000 0.000 0.500 Sn
0.000 0.500 0.000 Sn
0.000 0.000 0.000 Ru
0.500 0.500 0.500 S

***

11.
PBE ZrSnRu2S, relaxed; energy = -5.743 eV/atom; volume = 111.8 Å³/cell; uncorrected formation energy = 1.303 eV/atom
1.0
-2.805 -2.131 -3.359
-2.606 -1.953 3.414
-2.932 3.885 -0.016
Ru Sn Zr S
2 1 1 1
direct
0.500 0.000 0.000 Ru
0.000 0.000 0.500 Ru
0.000 0.000 0.000 Sn
0.500 0.500 0.500 Zr
0.000 0.500 0.000 S

***

12.
PBE SrRu3S, relaxed; energy = -3.988 eV/atom; volume = 124.4 Å³/cell; polymorph energy (0 for the lowest one) = 2568 meV per atom; uncorrected formation energy = 2.740 eV/atom
1.0
-3.546 -1.930 -2.936
3.502 -2.284 -2.727
-0.289 -3.997 2.976
Ru S Sr
3 1 1
direct
0.500 0.000 0.000 Ru
0.000 0.000 0.500 Ru
0.000 0.500 0.000 Ru
0.500 0.500 0.500 S
0.000 0.000 0.000 Sr

***

13.
PBE SrRu3S, relaxed; energy = -6.555 eV/atom; volume = 90.0 Å³/cell; polymorph energy (0 for the lowest one) = 0 meV per atom; uncorrected formation energy = 0.172 eV/atom
1.0
-3.450 -1.988 2.057
2.814 -2.941 1.877
0.517 2.736 3.512
Sr Ru S
1 3 1
direct
0.500 0.500 0.500 Sr
0.500 0.000 0.000 Ru
0.000 0.500 0.000 Ru
0.000 0.000 0.500 Ru
0.000 0.000 0.000 S

***

14.
PBE SrRuS2, relaxed; energy = -5.589 eV/atom; volume = 201.9 Å³/cell; polymorph energy (0 for the lowest one) = 0 meV per atom; uncorrected formation energy = -0.786 eV/atom
1.0
-1.306 -3.507 4.409
5.472 0.285 1.848
0.686 3.181 6.526
Sr Ru S
2 2 4
direct
0.250 0.750 0.500 Sr
0.500 0.500 0.000 Sr
0.750 0.250 0.500 Ru
0.000 0.000 0.000 Ru
0.716 0.125 0.250 S
0.375 0.284 0.750 S
0.034 0.625 0.250 S
0.875 0.966 0.750 S

***

15.
PBE SrRuS3, relaxed; energy = -3.378 eV/atom; volume = 160.9 Å³/cell; polymorph energy (0 for the lowest one) = 1940 meV per atom; uncorrected formation energy = 1.290 eV/atom
1.0
5.440 0.000 0.000
0.000 5.440 0.000
0.000 0.000 5.440
Sr Ru S
1 1 3
direct
0.000 0.000 0.000 Sr
0.500 0.500 0.500 Ru
0.000 0.000 0.500 S
0.500 0.000 0.000 S
0.000 0.500 0.000 S

***

16.
PBE SrRuS2, relaxed; energy = -5.170 eV/atom; volume = 73.7 Å³/cell; polymorph energy (0 for the lowest one) = 418 meV per atom; uncorrected formation energy = -0.367 eV/atom
1.0
2.805 -1.000 3.644
-1.414 0.947 4.387
-1.106 -3.515 2.926
Ru S Sr
1 2 1
direct
0.500 0.500 0.500 Ru
0.250 0.250 0.250 S
0.750 0.750 0.750 S
0.000 0.000 0.000 Sr

***

17.
PBE SrRuS3, relaxed; energy = -5.318 eV/atom; volume = 107.3 Å³/cell; polymorph energy (0 for the lowest one) = 0 meV per atom; uncorrected formation energy = -0.650 eV/atom
1.0
4.753 0.000 0.000
0.000 4.753 0.000
0.000 0.000 4.753
Ru S Sr
1 3 1
direct
0.000 0.000 0.000 Ru
0.000 0.000 0.500 S
0.500 0.000 0.000 S
0.000 0.500 0.000 S
0.500 0.500 0.500 Sr

***

18.
PBE SrRuS2, relaxed; energy = -5.162 eV/atom; volume = 97.2 Å³/cell; polymorph energy (0 for the lowest one) = 426 meV per atom; uncorrected formation energy = -0.359 eV/atom
1.0
2.189 0.000 7.811
-1.094 1.895 7.811
-1.094 -1.895 7.811
S Sr Ru
2 1 1
direct
0.121 0.121 0.121 S
0.879 0.879 0.879 S
0.000 0.000 0.000 Sr
0.500 0.500 0.500 Ru

***

19.
PBE Sr2RuS, relaxed; energy = -4.280 eV/atom; volume = 248.0 Å³/cell; uncorrected formation energy = -0.088 eV/atom
1.0
7.947 0.000 0.000
0.000 7.947 0.000
3.974 3.974 3.926
Ru Sr S
2 4 2
direct
0.750 0.250 0.500 Ru
0.000 0.000 0.000 Ru
0.875 0.853 0.750 Sr
0.603 0.125 0.250 Sr
0.147 0.625 0.250 Sr
0.375 0.397 0.750 Sr
0.250 0.750 0.500 S
0.500 0.500 0.000 S

***

20.
PBE SrVRuS2, relaxed; energy = -3.778 eV/atom; volume = 143.4 Å³/cell; uncorrected formation energy = 1.888 eV/atom
1.0
-2.011 1.191 -4.767
-2.130 -4.613 -0.254
-4.382 1.895 2.322
V Ru Sr S
1 1 1 2
direct
0.000 0.500 0.000 V
0.500 0.500 0.500 Ru
0.000 0.000 0.000 Sr
0.000 0.000 0.500 S
0.500 0.000 0.000 S

***

21.
PBE Ta2Ru2S, relaxed; energy = -8.990 eV/atom; volume = 97.3 Å³/cell; polymorph energy (0 for the lowest one) = 266 meV per atom; uncorrected formation energy = 0.287 eV/atom
1.0
-0.174 -3.166 -2.798
4.086 -0.839 0.695
0.572 -5.445 2.930
Ta Ru S
2 2 1
direct
0.250 0.750 0.500 Ta
0.750 0.250 0.500 Ta
0.380 0.380 0.240 Ru
0.620 0.620 0.760 Ru
0.000 0.000 0.000 S

***

22.
PBE TaRu3S, relaxed; energy = -8.305 eV/atom; volume = 80.4 Å³/cell; polymorph energy (0 for the lowest one) = 0 meV per atom; uncorrected formation energy = 0.456 eV/atom
1.0
-4.179 1.070 -0.153
-1.006 -3.628 2.111
0.395 2.079 3.761
Ru Ta S
3 1 1
direct
0.000 0.000 0.500 Ru
0.500 0.000 0.000 Ru
0.000 0.500 0.000 Ru
0.500 0.500 0.500 Ta
0.000 0.000 0.000 S

***

23.
PBE Ta2Ru2S, relaxed; energy = -9.023 eV/atom; volume = 94.4 Å³/cell; polymorph energy (0 for the lowest one) = 234 meV per atom; uncorrected formation energy = 0.254 eV/atom
1.0
-1.707 -2.834 1.850
3.351 -1.706 0.478
1.645 0.937 6.835
Ru S Ta
2 1 2
direct
0.750 0.250 0.500 Ru
0.250 0.750 0.500 Ru
0.000 0.000 0.000 S
0.621 0.621 0.757 Ta
0.379 0.379 0.243 Ta

***

24.
PBE Ta3RuS, relaxed; energy = -8.543 eV/atom; volume = 110.9 Å³/cell; polymorph energy (0 for the lowest one) = 816 meV per atom; uncorrected formation energy = 1.249 eV/atom
1.0
4.804 0.000 0.000
0.000 4.804 0.000
0.000 0.000 4.804
S Ru Ta
1 1 3
direct
0.500 0.500 0.500 S
0.000 0.000 0.000 Ru
0.500 0.000 0.000 Ta
0.000 0.500 0.000 Ta
0.000 0.000 0.500 Ta

***

25.
PBE Ta2Ru2S, relaxed; energy = -9.256 eV/atom; volume = 168.6 Å³/cell; polymorph energy (0 for the lowest one) = 0 meV per atom; uncorrected formation energy = 0.021 eV/atom
1.0
-3.400 6.444 1.075
-2.900 -0.403 -6.758
-2.472 -1.496 1.150
Ta Ru S
4 4 2
direct
0.662 0.162 0.000 Ta
0.838 0.662 0.000 Ta
0.338 0.838 0.000 Ta
0.162 0.338 0.000 Ta
0.367 0.133 0.500 Ru
0.867 0.367 0.500 Ru
0.633 0.867 0.500 Ru
0.133 0.633 0.500 Ru
0.500 0.500 0.000 S
0.000 0.000 0.000 S

***

26.
PBE TaRu3S, relaxed; energy = -6.962 eV/atom; volume = 108.2 Å³/cell; polymorph energy (0 for the lowest one) = 1343 meV per atom; uncorrected formation energy = 1.799 eV/atom
1.0
4.765 0.000 0.000
0.000 4.765 0.000
0.000 0.000 4.765
Ru Ta S
3 1 1
direct
0.500 0.000 0.000 Ru
0.000 0.500 0.000 Ru
0.000 0.000 0.500 Ru
0.000 0.000 0.000 Ta
0.500 0.500 0.500 S

***

27.
PBE Ta2RuS, relaxed; energy = -8.863 eV/atom; volume = 171.2 Å³/cell; uncorrected formation energy = 0.414 eV/atom
1.0
-0.730 3.945 3.149
-0.115 -3.194 3.974
6.092 1.018 4.267
Ta S Ru
4 2 2
direct
0.607 0.125 0.250 Ta
0.375 0.393 0.750 Ta
0.143 0.625 0.250 Ta
0.875 0.857 0.750 Ta
0.500 0.500 0.000 S
0.250 0.750 0.500 S
0.000 0.000 0.000 Ru
0.750 0.250 0.500 Ru

***

28.
PBE Ta3RuS, relaxed; energy = -9.359 eV/atom; volume = 90.6 Å³/cell; polymorph energy (0 for the lowest one) = 0 meV per atom; uncorrected formation energy = 0.434 eV/atom
1.0
4.492 0.000 0.000
0.000 4.492 0.000
0.000 0.000 4.492
Ta Ru S
3 1 1
direct
0.000 0.000 0.500 Ta
0.000 0.500 0.000 Ta
0.500 0.000 0.000 Ta
0.500 0.500 0.500 Ru
0.000 0.000 0.000 S